1.
## HfZrSi2 (PBE)

Data for a relaxed HfZrSi2 crystal.

CIF file:
```
data_HfZrSi2
_chemical_formula_sum 'Hf2 Zr2 Si4'
_cell_length_a 5.286
_cell_length_b 3.794
_cell_length_c 6.958
_cell_angle_alpha 90.00
_cell_angle_beta 90.20
_cell_angle_gamma 90.00
_space_group_name_H-M_alt 'P 1 21/m 1'
_space_group_IT_number 11
loop_
_space_group_symop_operation_xyz
'x,y,z'
'-x,-y,-z'
'-x,y+1/2,-z'
'x,-y+1/2,z'
loop_
_atom_site_label
_atom_site_fract_x
_atom_site_fract_y
_atom_site_fract_z
Hf1 0.125 0.250 0.325
Zr1 0.374 0.250 0.823
Si1 0.138 0.750 0.044
Si2 0.360 0.750 0.542
```

Its offset from the most stable computed form is 0.8 meV/atom. The energy comes out at -65.7 eV per cell. The value obtained for the density is 7.76 g/cm³.

2.
## NaLaCdS3 (PBE)

Data for a relaxed NaLaCdS3 crystal.

CIF file:
```
data_NaLaCdS3
_chemical_formula_sum 'Na4 La4 Cd4 S12'
_cell_length_a 11.919
_cell_length_b 4.227
_cell_length_c 11.816
_cell_angle_alpha 90.00
_cell_angle_beta 90.00
_cell_angle_gamma 90.00
_space_group_name_H-M_alt 'P n m a'
_space_group_IT_number 62
loop_
_space_group_symop_operation_xyz
'x,y,z'
'-x,-y,-z'
'-x+1/2,-y,z+1/2'
'x+1/2,y,-z+1/2'
'x+1/2,-y+1/2,-z+1/2'
'-x+1/2,y+1/2,z+1/2'
'-x,y+1/2,-z'
'x,-y+1/2,z'
loop_
_atom_site_label
_atom_site_fract_x
_atom_site_fract_y
_atom_site_fract_z
Na1 0.133 0.250 0.011
La1 0.029 0.250 0.676
Cd1 0.241 0.250 0.290
S1 0.056 0.750 0.848
S2 0.090 0.250 0.435
S3 0.218 0.750 0.168
```

Its offset from the most stable computed form is 0.0 meV/atom. The energy comes out at -111.3 eV per cell. The value obtained for the density is 4.13 g/cm³.

3.
## LaCuNiGe (PBE)

Data for a relaxed LaCuNiGe crystal.

CIF file:
```
data_LaCuNiGe
_chemical_formula_sum 'La4 Cu4 Ni4 Ge4'
_cell_length_a 6.599
_cell_length_b 6.599
_cell_length_c 6.599
_cell_angle_alpha 90.00
_cell_angle_beta 90.00
_cell_angle_gamma 90.00
_space_group_name_H-M_alt 'F -4 3 m'
_space_group_IT_number 216
_space_group_name_Hall 'F -4 2 3'
loop_
_atom_site_label
_atom_site_fract_x
_atom_site_fract_y
_atom_site_fract_z
La1 0.000 0.000 0.000
Cu1 0.250 0.250 0.250
Ni1 0.250 0.250 0.750
Ge1 0.000 0.000 0.500
```

Its offset from the most stable computed form is 0.0 meV/atom. The energy comes out at -79.6 eV per cell. The value obtained for the density is 7.72 g/cm³.

4.
## Sn2Pt2Pb2Au (PBE)

Data for a relaxed Sn2Pt2Pb2Au crystal.

CIF file:
```
data_Sn2Pt2Pb2Au
_chemical_formula_sum 'Sn6 Pt6 Pb6 Au3'
_cell_length_a 4.5254
_cell_length_b 4.5254
_cell_length_c 28.1069
_cell_angle_alpha 90.00
_cell_angle_beta 90.00
_cell_angle_gamma 120.00
_space_group_name_H-M_alt 'R -3 m'
_space_group_IT_number 166
_space_group_name_Hall '-R 3 2"'
loop_
_atom_site_label
_atom_site_fract_x
_atom_site_fract_y
_atom_site_fract_z
Sn1 0.0000 0.0000 0.2005
Pt1 0.0000 0.0000 0.1029
Pb1 0.0000 0.0000 0.3857
Au1 0.0000 0.0000 0.0000
```

Its offset from the most stable computed form is 0.0 meV/atom. The energy comes out at -99.5 eV per cell. The value obtained for the density is 12.38 g/cm³.